YTlCd: optimized geometry, GGA-PBE.

abc: 4.699 4.567 7.633
angles: 90.00 107.66 90.00
Space group Pm (No. 6)
One atom of each set of equivalent atoms:
Y  0.000  0.000  0.000 x1
Y  0.312  0.000  0.625 x1
Tl  0.157  0.500  0.315 x1
Tl  0.478  0.500  0.957 x1
Cd  0.660  0.000  0.321 x1
Cd  0.825  0.500  0.651 x1

Values from the calculation:
Uncorrected energy (eV per atom): -3.535
Fermi-level density of states (states/eV/atom): 0.7444
V (A^3/atom): 26.014
ΔE_f (eV per atom): -0.29